(1)
Entry from Alexandria via LeMat-Bulk: a geometry-optimized Ca4MgAl structure (GGA-PBE).

Lattice parameters (Å, degrees): 3.7709 3.7709 13.8518 90.00 90.00 90.00
Closest atoms and distances in Å follow each position.
Fractional positions:
Ca 0.0000 0.0000 0.6319  4 Al 3.23
Ca 0.5000 0.5000 0.8450  4 Mg 3.42, 4 Ca 3.77
Ca 0.0000 0.0000 0.3681  4 Al 3.23
Ca 0.5000 0.5000 0.1550  4 Mg 3.42, 4 Ca 3.77
Mg 0.0000 0.0000 0.0000  8 Ca 3.42, 4 Mg 3.77
Al 0.5000 0.5000 0.5000  8 Ca 3.23

Output
E above lowest polymorph = 0.000 eV per atom
ρ = 1.784 g/cm³
V = 32.83 Å³/atom


(2)
Entry from Alexandria via LeMat-Bulk: a geometry-optimized CeHo15Er4 structure (GGA-PBE).

Lattice parameters (Å, degrees): 5.8521 5.8521 18.2319 90.00 90.00 90.00
Closest atoms and distances in Å follow each position.
Fractional positions:
Ho 0.0000 0.5000 0.1009  6 Ho 3.43-3.68, 2 Er 3.44, 2 Ce 3.46
Ho 0.0000 0.5000 0.5000  4 Er 3.45, 6 Ho 3.45-3.63
Ho 0.5000 0.5000 0.0000  10 Ho 3.46-3.63
Ho 0.5000 0.0000 0.8991  6 Ho 3.43-3.68, 2 Er 3.44, 2 Ce 3.46
Ho 0.5000 0.5000 0.6007  10 Ho 3.43-3.67
Ho 0.5000 0.0000 0.3009  6 Ho 3.43-3.65, 4 Er 3.44-3.46
Ho 0.5000 0.5000 0.8010  10 Ho 3.43-3.65
Ho 0.0000 0.5000 0.3009  6 Ho 3.43-3.65, 4 Er 3.44-3.46
Ho 0.0000 0.5000 0.6991  6 Ho 3.43-3.65, 4 Er 3.44-3.46
Ho 0.0000 0.5000 0.8991  6 Ho 3.43-3.68, 2 Er 3.44, 2 Ce 3.46
Er 0.0000 0.0000 0.4002  8 Ho 3.44-3.45, 2 Er 3.64-3.65
Er 0.0000 0.0000 0.5998  8 Ho 3.44-3.45, 2 Er 3.64-3.65
Ce 0.0000 0.0000 0.0000  8 Ho 3.46, 2 Er 3.65
Er 0.0000 0.0000 0.2001  8 Ho 3.44-3.46, 1 Ce 3.65, 1 Er 3.65
Ho 0.5000 0.0000 0.1009  6 Ho 3.43-3.68, 2 Er 3.44, 2 Ce 3.46
Ho 0.5000 0.5000 0.1990  10 Ho 3.43-3.65
Ho 0.5000 0.0000 0.6991  6 Ho 3.43-3.65, 4 Er 3.44-3.46
Ho 0.5000 0.5000 0.3993  10 Ho 3.43-3.67
Er 0.0000 0.0000 0.7999  8 Ho 3.44-3.46, 1 Ce 3.65, 1 Er 3.65
Ho 0.5000 0.0000 0.5000  4 Er 3.45, 6 Ho 3.45-3.63

Output
ρ = 8.731 g/cm³
V = 31.22 Å³/atom
E = -4.504 eV/atom


(3)
Entry from Alexandria via LeMat-Bulk: a geometry-optimized Tb2SmZnN structure (GGA-PBE).

Lattice parameters (Å, degrees): 4.7970 4.7969 4.9238 90.00 90.00 90.00
Closest atoms and distances in Å follow each position.
Fractional positions:
Sm 0.0000 0.0000 0.4999  2 N 2.46
Zn 0.5000 0.5000 0.5001  4 Sm 3.39, 8 Tb 3.44
N 0.0000 0.0000 0.0000  4 Tb 2.40, 2 Sm 2.46
Tb 0.0000 0.5000 0.0000  2 N 2.40
Tb 0.5000 0.0000 0.0000  2 N 2.40

Output
ρ = 8.026 g/cm³
V = 22.66 Å³/atom
Energy relative to the elements, uncorrected = -0.74 eV/atom


(4)
Entry from Alexandria via LeMat-Bulk: a geometry-optimized Nd2Mg6Sc structure (GGA-PBE).

Lattice parameters (Å, degrees): 3.2698 9.0985 9.0985 59.99 89.99 89.99
Closest atoms and distances in Å follow each position.
Fractional positions:
Mg 0.4988 0.0000 0.6752  5 Mg 2.96-3.27
Nd 0.0000 0.6667 0.6667  2 Nd 3.27, 12 Mg 3.48
Mg 0.5012 0.3248 0.0000  5 Mg 2.96-3.27
Nd 0.0000 0.3333 0.3333  2 Nd 3.27, 12 Mg 3.48
Mg 0.4988 0.6752 0.0000  5 Mg 2.96-3.27
Sc 0.0000 0.0000 0.0000  2 Sc 3.27, 12 Mg 3.38
Mg 0.5000 0.6751 0.3249  5 Mg 2.96-3.27
Mg 0.5012 0.0000 0.3248  5 Mg 2.96-3.27
Mg 0.5000 0.3249 0.6751  5 Mg 2.96-3.27

Output
ρ = 3.395 g/cm³
V = 26.04 Å³/atom
E = -2.891 eV/atom


(5)
Entry from Alexandria via LeMat-Bulk: a geometry-optimized La4Pr3Sm4 structure (GGA-PBE).

Lattice parameters (Å, degrees): 3.6636 9.6857 12.4901 112.81 98.43 90.00
Closest atoms and distances in Å follow each position.
Fractional positions:
Sm 0.2625 0.7625 0.5250  2 Pr 3.49, 6 La 3.62-3.81, 2 Sm 3.66
La 0.6460 0.4751 0.2920  3 La 3.31-3.66, 3 Sm 3.60-3.62
Pr 0.8931 0.8931 0.7863  6 Sm 3.49-3.53, 2 Pr 3.66, 4 La 3.78
La 0.6460 0.8169 0.2920  3 La 3.31-3.66, 3 Sm 3.60-3.62
Pr 0.1069 0.1069 0.2137  6 Sm 3.49-3.53, 2 Pr 3.66, 4 La 3.78
La 0.3540 0.1831 0.7080  3 La 3.31-3.66, 3 Sm 3.60-3.62
Sm 0.5000 0.8149 0.0000  6 Pr 3.53-3.56, 3 Sm 3.59-3.66, 2 La 3.60
Pr 0.0000 0.5000 0.0000  4 Sm 3.56, 2 Pr 3.66
Sm 0.5000 0.1851 0.0000  6 Pr 3.53-3.56, 3 Sm 3.59-3.66, 2 La 3.60
Sm 0.7375 0.2375 0.4750  2 Pr 3.49, 6 La 3.62-3.81, 2 Sm 3.66
La 0.3540 0.5249 0.7080  3 La 3.31-3.66, 3 Sm 3.60-3.62

Output
E above lowest polymorph = 0.000 eV per atom
ρ = 6.504 g/cm³
V = 36.67 Å³/atom


(6)
Entry from Alexandria via LeMat-Bulk: a geometry-optimized CaPmDy2Se4 structure (GGA-PBE).

Lattice parameters (Å, degrees): 4.1095 7.1544 7.1828 70.91 90.00 90.00
Closest atoms and distances in Å follow each position.
Fractional positions:
Dy 0.5000 0.0000 0.5000  6 Se 2.88
Se 0.0000 0.7577 0.7433  3 Dy 2.88-2.91, 1 Ca 2.93, 2 Pm 2.97
Pm 0.5000 0.5000 0.0000  6 Se 2.96-2.97
Se 0.0000 0.2423 0.2567  3 Dy 2.88-2.91, 1 Ca 2.93, 2 Pm 2.97
Dy 0.0000 0.0000 0.0000  6 Se 2.91
Se 0.5000 0.7564 0.2509  3 Dy 2.88-2.91, 2 Ca 2.94, 1 Pm 2.96
Se 0.5000 0.2436 0.7491  3 Dy 2.88-2.91, 2 Ca 2.94, 1 Pm 2.96
Ca 0.0000 0.5000 0.5000  6 Se 2.93-2.94

Output
ρ = 6.872 g/cm³
V = 24.95 Å³/atom
Energy relative to the elements, uncorrected = -1.83 eV/atom


(7)
Entry from Alexandria via LeMat-Bulk: a geometry-optimized LaPm12Dy6 structure (GGA-PBE).

Lattice parameters (Å, degrees): 8.6716 8.6716 8.6716 88.87 88.87 88.87
Closest atoms and distances in Å follow each position.
Fractional positions:
Pm 0.3613 0.0157 0.1988  4 Pm 3.46-3.64, 4 Dy 3.54-3.71, 1 La 3.61
Pm 0.4618 0.5670 0.2210  3 Dy 3.34-3.50, 6 Pm 3.34-3.73
La 0.0000 0.0000 0.0000  6 Dy 3.53, 6 Pm 3.61
Pm 0.5670 0.2210 0.4618  3 Dy 3.34-3.50, 6 Pm 3.34-3.73
Pm 0.9843 0.8012 0.6387  4 Pm 3.46-3.64, 4 Dy 3.54-3.71, 1 La 3.61
Dy 0.9018 0.3028 0.7406  7 Pm 3.34-3.71, 1 La 3.53, 2 Dy 3.56
Pm 0.2210 0.4618 0.5670  3 Dy 3.34-3.50, 6 Pm 3.34-3.73
Dy 0.7406 0.9018 0.3028  7 Pm 3.34-3.71, 1 La 3.53, 2 Dy 3.56
Pm 0.8012 0.6387 0.9843  4 Pm 3.46-3.64, 4 Dy 3.54-3.71, 1 La 3.61
Pm 0.4330 0.7790 0.5382  3 Dy 3.34-3.50, 6 Pm 3.34-3.73
Pm 0.0157 0.1988 0.3613  4 Pm 3.46-3.64, 4 Dy 3.54-3.71, 1 La 3.61
Dy 0.6972 0.2594 0.0982  7 Pm 3.34-3.71, 1 La 3.53, 2 Dy 3.56
Pm 0.7790 0.5382 0.4330  3 Dy 3.34-3.50, 6 Pm 3.34-3.73
Dy 0.3028 0.7406 0.9018  7 Pm 3.34-3.71, 1 La 3.53, 2 Dy 3.56
Dy 0.2594 0.0982 0.6972  7 Pm 3.34-3.71, 1 La 3.53, 2 Dy 3.56
Pm 0.1988 0.3613 0.0157  4 Pm 3.46-3.64, 4 Dy 3.54-3.71, 1 La 3.61
Pm 0.5382 0.4330 0.7790  3 Dy 3.34-3.50, 6 Pm 3.34-3.73
Pm 0.6387 0.9843 0.8012  4 Pm 3.46-3.64, 4 Dy 3.54-3.71, 1 La 3.61
Dy 0.0982 0.6972 0.2594  7 Pm 3.34-3.71, 1 La 3.53, 2 Dy 3.56

Output
E above lowest polymorph = 0.000 eV per atom
ρ = 7.272 g/cm³
V = 34.30 Å³/atom


(8)
Entry from Alexandria via LeMat-Bulk: a geometry-optimized CdBiAu4 structure (GGA-PBE).

Lattice parameters (Å, degrees): 5.1596 5.1596 5.5277 90.00 90.00 90.00
Closest atoms and distances in Å follow each position.
Fractional positions:
Au 0.0000 0.5000 0.2542  2 Au 2.72-2.81, 2 Cd 2.92, 2 Bi 2.94
Cd 0.5000 0.5000 0.5000  8 Au 2.92
Au 0.5000 0.0000 0.2542  2 Au 2.72-2.81, 2 Cd 2.92, 2 Bi 2.94
Au 0.5000 0.0000 0.7458  2 Au 2.72-2.81, 2 Cd 2.92, 2 Bi 2.94
Bi 0.0000 0.0000 0.0000  8 Au 2.94
Au 0.0000 0.5000 0.7458  2 Au 2.72-2.81, 2 Cd 2.92, 2 Bi 2.94

Output
E above lowest polymorph = 0.088 eV per atom
ρ = 12.517 g/cm³
V = 24.53 Å³/atom


(9)
Entry from Alexandria via LeMat-Bulk: a geometry-optimized InP2O structure (GGA-PBE).

Lattice parameters (Å, degrees): 4.8172 4.8172 7.2777 70.67 70.67 90.00
Closest atoms and distances in Å follow each position.
Fractional positions:
P 0.3040 0.6250 0.2500  2 O 2.04
In 0.0000 0.0000 0.0000  4 P 2.88
O 0.5000 0.5000 0.0000  4 P 2.04
P 0.4460 0.1250 0.2500  2 O 2.04
O 0.2500 0.7500 0.5000  4 P 2.04
P 0.3750 0.5540 0.7500  2 O 2.04
P 0.8750 0.6960 0.7500  2 O 2.04
In 0.7500 0.2500 0.5000  4 P 2.88

Output
E above lowest polymorph = 0.000 eV per atom
ρ = 4.289 g/cm³
V = 18.66 Å³/atom
Energy relative to the elements, uncorrected = 0.06 eV/atom


no.,size of the total moment (μB/atom)
1,0.000
2,0.000
3,0.000
4,0.000
5,0.000
6,0.000
7,0.000
8,0.000
9,0.000